{"formula": "NaHIr2", "functional": "GGA-PBE", "state": "optimized geometry", "cell": [[0.000, 2.962, 2.962], [2.962, 0.000, 2.962], [2.962, 2.962, 0.000]], "species": ["Na", "Ir", "Ir", "H"], "fractional_positions": [[0.500, 0.500, 0.500], [0.250, 0.250, 0.250], [0.750, 0.750, 0.750], [0.000, 0.000, 0.000]], "space_group": "Fm-3m", "volume_a3_per_atom": 13.0, "relative_energy_ev_per_atom": 0.9701, "energy_ev_per_atom": -4.18}